Run P
A plane-wave DFT calculation with PBE was carried out for a relaxed RbZr2Mn crystal.

Values from the calculation:
V = 586.0 Å³/cell
DOS(E_F) = 6.27 states/eV/f.u.

Cell and atoms, written as CIF:
```
data_RbZr2Mn
_chemical_formula_sum 'Rb4 Zr8 Mn4'
_space_group_name_H-M_alt 'I 41/a m d'
_space_group_IT_number 141
_cell_length_a 7.4517
_cell_length_b 7.4517
_cell_length_c 10.5528
_cell_angle_alpha 90.00
_cell_angle_beta 90.00
_cell_angle_gamma 90.00
loop_
_space_group_symop_operation_xyz
'x,y,z'
'-x,-y,-z'
'-y+1/4,x+3/4,z+1/4'
'y+1/4,-x+3/4,-z+1/4'
'-x+1/2,-y,z+1/2'
'x+1/2,y,-z+1/2'
'y+1/4,-x+1/4,z+3/4'
'-y+1/4,x+1/4,-z+3/4'
'x,-y,-z'
'-x,y,z'
'-y+1/4,-x+1/4,-z+3/4'
'y+1/4,x+1/4,z+3/4'
'-x+1/2,y,-z+1/2'
'x+1/2,-y,z+1/2'
'y+1/4,x+3/4,-z+1/4'
'-y+1/4,-x+3/4,z+1/4'
'x+1/2,y+1/2,z+1/2'
'-x+1/2,-y+1/2,-z+1/2'
'-y+3/4,x+1/4,z+3/4'
'y+3/4,-x+1/4,-z+3/4'
'-x,-y+1/2,z'
'x,y+1/2,-z'
'y+3/4,-x+3/4,z+1/4'
'-y+3/4,x+3/4,-z+1/4'
'x+1/2,-y+1/2,-z+1/2'
'-x+1/2,y+1/2,z+1/2'
'-y+3/4,-x+3/4,-z+1/4'
'y+3/4,x+3/4,z+1/4'
'-x,y+1/2,-z'
'x,-y+1/2,z'
'y+3/4,x+1/4,-z+3/4'
'-y+3/4,-x+1/4,z+3/4'
loop_
_atom_site_label
_atom_site_fract_x
_atom_site_fract_y
_atom_site_fract_z
Rb1 0.0000 0.2500 0.3750
Zr1 0.0000 0.0000 0.0000
Mn1 0.0000 0.2500 0.8750
```



Run Q
A plane-wave DFT calculation with PBE was carried out for a relaxed RbZr2Mn crystal.

Values from the calculation:
V = 369.6 Å³/cell
DOS(E_F) = 10.20 states/eV/f.u.

Cell and atoms, written as CIF:
```
data_RbZr2Mn
_chemical_formula_sum 'Rb4 Zr8 Mn4'
_space_group_name_H-M_alt 'F m -3 m'
_space_group_IT_number 225
_space_group_name_Hall '-F 4 2 3'
_cell_length_a 7.1765
_cell_length_b 7.1765
_cell_length_c 7.1765
_cell_angle_alpha 90.00
_cell_angle_beta 90.00
_cell_angle_gamma 90.00
loop_
_atom_site_label
_atom_site_fract_x
_atom_site_fract_y
_atom_site_fract_z
Rb1 0.0000 0.0000 0.0000
Zr1 0.2500 0.2500 0.2500
Mn1 0.0000 0.0000 0.5000
```



Energy above the most stable structure, in eV/atom: run P 0.000; run Q 0.139



Run P
A plane-wave DFT calculation with PBE was carried out for a relaxed Mn3Re4 crystal.

Values from the calculation:
V = 191.9 Å³/cell
DOS(E_F) = 7.42 states/eV/f.u.

Cell and atoms, written as CIF:
```
data_Mn3Re4
_chemical_formula_sum 'Mn6 Re8'
_space_group_name_H-M_alt 'I 4/m m m'
_space_group_IT_number 139
_space_group_name_Hall '-I 4 2'
_cell_length_a 3.0598
_cell_length_b 3.0598
_cell_length_c 20.4989
_cell_angle_alpha 90.00
_cell_angle_beta 90.00
_cell_angle_gamma 90.00
loop_
_atom_site_label
_atom_site_fract_x
_atom_site_fract_y
_atom_site_fract_z
Mn1 0.0000 0.0000 0.0000
Mn2 0.0000 0.0000 0.2814
Re1 0.0000 0.0000 0.1489
Re2 0.0000 0.0000 0.4286
```



Run Q
A plane-wave DFT calculation with PBE was carried out for a relaxed Mn3Re4 crystal.

Values from the calculation:
V = 92.6 Å³/cell
DOS(E_F) = 7.52 states/eV/f.u.

Cell and atoms, written as CIF:
```
data_Mn3Re4
_chemical_formula_sum 'Mn3 Re4'
_space_group_name_H-M_alt 'P 6/m m m'
_space_group_IT_number 191
_space_group_name_Hall '-P 6 2'
_cell_length_a 4.6718
_cell_length_b 4.6718
_cell_length_c 4.8974
_cell_angle_alpha 90.00
_cell_angle_beta 90.00
_cell_angle_gamma 120.00
loop_
_atom_site_label
_atom_site_fract_x
_atom_site_fract_y
_atom_site_fract_z
Mn1 0.0000 0.5000 0.0000
Re1 0.0000 0.0000 0.2542
Re2 0.3333 0.6667 0.5000
```



Energy above the most stable structure, in eV/atom: run P 0.133; run Q 0.000



Run P
A plane-wave DFT calculation with PBE was carried out for a relaxed Mn3Re5 crystal.

Values from the calculation:
V = 440.6 Å³/cell
DOS(E_F) = 7.33 states/eV/f.u.

Cell and atoms, written as CIF:
```
data_Mn3Re5
_chemical_formula_sum 'Mn12 Re20'
_space_group_name_H-M_alt 'I 4/m c m'
_space_group_IT_number 140
_space_group_name_Hall '-I 4 2c'
_cell_length_a 9.5904
_cell_length_b 9.5904
_cell_length_c 4.7899
_cell_angle_alpha 90.00
_cell_angle_beta 90.00
_cell_angle_gamma 90.00
loop_
_atom_site_label
_atom_site_fract_x
_atom_site_fract_y
_atom_site_fract_z
Mn1 0.0000 0.0000 0.2500
Mn2 0.1753 0.3247 0.0000
Re1 0.0000 0.5000 0.2500
Re2 0.0695 0.2228 0.5000
```



Run Q
A plane-wave DFT calculation with PBE was carried out for a relaxed Mn3Re5 crystal.

Values from the calculation:
V = 222.2 Å³/cell
DOS(E_F) = 7.11 states/eV/f.u.

Cell and atoms, written as CIF:
```
data_Mn3Re5
_chemical_formula_sum 'Mn6 Re10'
_space_group_name_H-M_alt 'P 63/m c m'
_space_group_IT_number 193
_space_group_name_Hall '-P 6c 2'
_cell_length_a 7.2404
_cell_length_b 7.2404
_cell_length_c 4.8943
_cell_angle_alpha 90.00
_cell_angle_beta 90.00
_cell_angle_gamma 120.00
loop_
_atom_site_label
_atom_site_fract_x
_atom_site_fract_y
_atom_site_fract_z
Mn1 0.0000 0.4089 0.2500
Re1 0.0000 0.2265 0.7500
Re2 0.3333 0.6667 0.0000
```



Energy above the most stable structure, in eV/atom: run P 0.000; run Q 0.103



Run P
A plane-wave DFT calculation with PBE was carried out for a relaxed MnRe5 crystal.

Values from the calculation:
V = 101.8 Å³/cell
DOS(E_F) = 4.66 states/eV/f.u.

Cell and atoms, written as CIF:
```
data_MnRe5
_chemical_formula_sum 'Mn1 Re5'
_space_group_name_H-M_alt 'P 6/m m m'
_space_group_IT_number 191
_space_group_name_Hall '-P 6 2'
_cell_length_a 5.0618
_cell_length_b 5.0618
_cell_length_c 4.5868
_cell_angle_alpha 90.00
_cell_angle_beta 90.00
_cell_angle_gamma 120.00
loop_
_atom_site_label
_atom_site_fract_x
_atom_site_fract_y
_atom_site_fract_z
Mn1 0.0000 0.0000 0.0000
Re1 0.0000 0.5000 0.5000
Re2 0.3333 0.6667 0.0000
```



Run Q
A plane-wave DFT calculation with PBE was carried out for a relaxed MnRe5 crystal.

Values from the calculation:
V = 378.9 Å³/cell
DOS(E_F) = 6.20 states/eV/f.u.

Cell and atoms, written as CIF:
```
data_MnRe5
_chemical_formula_sum 'Mn4 Re20'
_space_group_name_H-M_alt 'F -4 3 m'
_space_group_IT_number 216
_space_group_name_Hall 'F -4 2 3'
_cell_length_a 7.2362
_cell_length_b 7.2362
_cell_length_c 7.2362
_cell_angle_alpha 90.00
_cell_angle_beta 90.00
_cell_angle_gamma 90.00
loop_
_atom_site_label
_atom_site_fract_x
_atom_site_fract_y
_atom_site_fract_z
Mn1 0.0000 0.0000 0.0000
Re1 0.1262 0.1262 0.3738
Re2 0.2500 0.2500 0.7500
```



Run R
A plane-wave DFT calculation with PBE was carried out for a relaxed MnRe5 crystal.

Values from the calculation:
V = 173.1 Å³/cell
DOS(E_F) = 6.17 states/eV/f.u.

Cell and atoms, written as CIF:
```
data_MnRe5
_chemical_formula_sum 'Mn2 Re10'
_space_group_name_H-M_alt 'C 1 m 1'
_space_group_IT_number 8
_cell_length_a 10.0666
_cell_length_b 2.7533
_cell_length_c 6.4641
_cell_angle_alpha 90.00
_cell_angle_beta 104.93
_cell_angle_gamma 90.00
loop_
_space_group_symop_operation_xyz
'x,y,z'
'x,-y,z'
'x+1/2,y+1/2,z'
'x+1/2,-y+1/2,z'
loop_
_atom_site_label
_atom_site_fract_x
_atom_site_fract_y
_atom_site_fract_z
Mn1 0.0000 0.0000 0.0000
Re1 0.0536 0.0000 0.6105
Re2 0.1630 0.5000 0.3247
Re3 0.2175 0.5000 0.9420
Re4 0.3375 0.0000 0.6703
Re5 0.3920 0.0000 0.2648
```



Energy above the most stable structure, in eV/atom: run P 0.529; run Q 0.370; run R 0.000



Run P
A plane-wave DFT calculation with PBE was carried out for a relaxed MnRe5 crystal.

Values from the calculation:
V = 86.4 Å³/cell
DOS(E_F) = 6.12 states/eV/f.u.

Cell and atoms, written as CIF:
```
data_MnRe5
_chemical_formula_sum 'Mn1 Re5'
_space_group_name_H-M_alt 'P 4/m m m'
_space_group_IT_number 123
_space_group_name_Hall '-P 4 2'
_cell_length_a 2.7479
_cell_length_b 2.7479
_cell_length_c 11.4457
_cell_angle_alpha 90.00
_cell_angle_beta 90.00
_cell_angle_gamma 90.00
loop_
_atom_site_label
_atom_site_fract_x
_atom_site_fract_y
_atom_site_fract_z
Mn1 0.0000 0.0000 0.0000
Re1 0.0000 0.0000 0.3279
Re2 0.5000 0.5000 0.1527
Re3 0.5000 0.5000 0.5000
```



Run Q
A plane-wave DFT calculation with PBE was carried out for a relaxed MnRe5 crystal.

Values from the calculation:
V = 86.5 Å³/cell
DOS(E_F) = 6.54 states/eV/f.u.

Cell and atoms, written as CIF:
```
data_MnRe5
_chemical_formula_sum 'Mn1 Re5'
_space_group_name_H-M_alt 'P -6 2 m'
_space_group_IT_number 189
_space_group_name_Hall 'P -6 -2'
_cell_length_a 4.7509
_cell_length_b 4.7509
_cell_length_c 4.4240
_cell_angle_alpha 90.00
_cell_angle_beta 90.00
_cell_angle_gamma 120.00
loop_
_atom_site_label
_atom_site_fract_x
_atom_site_fract_y
_atom_site_fract_z
Mn1 0.0000 0.0000 0.0000
Re1 0.0000 0.6735 0.5000
Re2 0.3333 0.6667 0.0000
```



Energy above the most stable structure, in eV/atom: run P 0.045; run Q 0.000